(1)
The following is a PBE calculation of a geometry-optimized RbOsO3 structure, from OQMD via LeMat-Bulk.

Unit cell a=5.330 b=7.969 c=8.352 alpha=112.52 beta=95.01 gamma=96.50
Atoms (fractional coordinates):
O 0.741 0.934 0.012
O 0.207 0.777 0.054
O 0.151 0.445 0.227
O 0.707 0.219 0.269
O 0.194 0.120 0.293
O 0.598 0.878 0.320
O 0.402 0.122 0.680
O 0.806 0.880 0.707
O 0.293 0.781 0.731
O 0.849 0.555 0.773
O 0.793 0.223 0.946
O 0.259 0.066 0.988
Os 0.998 0.207 0.143
Os 0.469 0.994 0.189
Os 0.531 0.006 0.811
Os 0.002 0.793 0.857
Rb 0.500 0.500 0.000
Rb 0.084 0.798 0.394
Rb 0.500 0.500 0.500
Rb 0.916 0.202 0.606

## Properties
The calculated total energy comes out at -6.55 eV/atom. The calculation puts the total magnetization at 0.0 Bohr magnetons per cell.

=====

(2)
The following is a PBE calculation of a geometry-optimized RbOsO3 structure, from OQMD via LeMat-Bulk.

Unit cell a=5.585 b=5.585 c=5.585 alpha=59.98 beta=59.98 gamma=59.98
Atoms (fractional coordinates):
O 0.750 0.250 0.250
O 0.750 0.750 0.250
O 0.250 0.750 0.250
O 0.750 0.250 0.750
O 0.250 0.250 0.750
O 0.250 0.750 0.750
Os 0.000 0.000 0.000
Os 0.500 0.500 0.500
Rb 0.250 0.250 0.250
Rb 0.750 0.750 0.750

## Properties
The calculated total energy comes out at -6.51 eV/atom. The calculation puts the total magnetization at 0.1 Bohr magnetons per cell.

=====

(3)
The following is a PBE calculation of a geometry-optimized Rb2OsO4 structure, from OQMD via LeMat-Bulk.

Unit cell a=6.091 b=6.053 c=6.449 alpha=58.22 beta=57.64 gamma=64.15
Atoms (fractional coordinates):
O 0.877 0.255 0.123
O 0.123 0.748 0.252
O 0.255 0.877 0.745
O 0.748 0.123 0.877
Os 0.000 0.000 0.000
Rb 0.248 0.248 0.252
Rb 0.748 0.748 0.752

## Properties
The calculated total energy comes out at -6.07 eV/atom. The calculation puts the total magnetization at 0.0 Bohr magnetons per cell. The energy above the most stable polymorph in this dataset comes out at 0.0000 eV per atom.

=====

(4)
The following is a PBE calculation of a geometry-optimized RbOsO3 structure, from OQMD via LeMat-Bulk.

Unit cell a=6.378 b=4.970 c=11.187 alpha=90.00 beta=90.00 gamma=90.00
Atoms (fractional coordinates):
O 0.594 0.480 0.116
O 0.906 0.980 0.116
O 0.168 0.401 0.250
O 0.332 0.901 0.250
O 0.594 0.480 0.384
O 0.906 0.980 0.384
O 0.094 0.020 0.616
O 0.406 0.520 0.616
O 0.668 0.099 0.750
O 0.832 0.599 0.750
O 0.094 0.020 0.884
O 0.406 0.520 0.884
Os 0.047 0.041 0.250
Os 0.453 0.541 0.250
Os 0.547 0.459 0.750
Os 0.953 0.959 0.750
Rb 0.500 0.000 0.000
Rb 0.000 0.500 0.000
Rb 0.500 0.000 0.500
Rb 0.000 0.500 0.500

## Properties
The calculated total energy comes out at -6.47 eV/atom. The calculation puts the total magnetization at 0.0 Bohr magnetons per cell.

=====

(5)
The following is a PBE calculation of a geometry-optimized Rb2Os2O5 structure, from OQMD via LeMat-Bulk.

Unit cell a=12.138 b=3.320 c=3.320 alpha=90.00 beta=90.00 gamma=90.00
Atoms (fractional coordinates):
O 0.094 0.500 0.000
O 0.906 0.500 0.000
O 0.094 0.000 0.500
O 0.906 0.000 0.500
O 0.500 0.500 0.500
Os 0.000 0.000 0.000
Os 0.500 0.000 0.000
Rb 0.266 0.500 0.500
Rb 0.734 0.500 0.500

## Properties
The calculated total energy comes out at -5.66 eV/atom. The calculation puts the total magnetization at 2.6 Bohr magnetons per cell. The energy above the most stable polymorph in this dataset comes out at 0.7674 eV per atom.

=====

(6)
The following is a PBE calculation of a geometry-optimized RbOsO3 structure, from OQMD via LeMat-Bulk.

Unit cell a=5.497 b=5.497 c=6.856 alpha=66.37 beta=66.37 gamma=60.00
Atoms (fractional coordinates):
O 0.556 0.151 0.325
O 0.967 0.556 0.325
O 0.151 0.967 0.325
O 0.849 0.033 0.675
O 0.033 0.444 0.675
O 0.444 0.849 0.675
Os 0.834 0.834 0.497
Os 0.166 0.166 0.503
Rb 0.637 0.637 0.088
Rb 0.363 0.363 0.912

## Properties
The calculated total energy comes out at -6.60 eV/atom. The calculation puts the total magnetization at 1.5 Bohr magnetons per cell.

=====

(7)
The following is a PBE calculation of a geometry-optimized RbOsSO structure, from OQMD via LeMat-Bulk.

Unit cell a=5.290 b=4.942 c=14.270 alpha=90.00 beta=104.30 gamma=90.00
Atoms (fractional coordinates):
O 0.622 0.198 0.006
O 0.126 0.167 0.033
O 0.874 0.667 0.967
O 0.378 0.698 0.994
Os 0.142 0.782 0.087
Os 0.470 0.400 0.096
Os 0.530 0.900 0.904
Os 0.858 0.282 0.913
Rb 0.015 0.103 0.317
Rb 0.528 0.580 0.344
Rb 0.472 0.080 0.656
Rb 0.985 0.603 0.683
S 0.865 0.613 0.174
S 0.440 0.058 0.202
S 0.560 0.558 0.798
S 0.135 0.113 0.826

## Properties
The calculated total energy comes out at -5.72 eV/atom. The calculation puts the total magnetization at 0.0 Bohr magnetons per cell. The energy above the most stable polymorph in this dataset comes out at 0.2841 eV per atom.

=====

(8)
The following is a PBE calculation of a geometry-optimized RbOsSO structure, from OQMD via LeMat-Bulk.

Unit cell a=7.600 b=6.066 c=6.501 alpha=90.00 beta=109.20 gamma=90.00
Atoms (fractional coordinates):
O 0.627 0.369 0.113
O 0.373 0.869 0.387
O 0.627 0.131 0.613
O 0.373 0.631 0.887
Os 0.519 0.618 0.246
Os 0.481 0.118 0.254
Os 0.519 0.882 0.746
Os 0.481 0.382 0.754
Rb 0.089 0.753 0.025
Rb 0.911 0.253 0.475
Rb 0.089 0.747 0.525
Rb 0.911 0.247 0.975
S 0.686 0.881 0.123
S 0.314 0.381 0.377
S 0.686 0.619 0.623
S 0.314 0.119 0.877

## Properties
The calculated total energy comes out at -5.81 eV/atom. The calculation puts the total magnetization at 0.0 Bohr magnetons per cell. The energy above the most stable polymorph in this dataset comes out at 0.2018 eV per atom.

=====

(9)
The following is a PBE calculation of a geometry-optimized RbOsSO structure, from OQMD via LeMat-Bulk.

Unit cell a=6.555 b=8.827 c=5.779 alpha=90.00 beta=90.00 gamma=90.00
Atoms (fractional coordinates):
O 0.951 0.159 0.014
O 0.451 0.841 0.014
O 0.549 0.159 0.514
O 0.049 0.841 0.514
Os 0.888 0.363 0.021
Os 0.388 0.637 0.021
Os 0.612 0.363 0.521
Os 0.112 0.637 0.521
Rb 0.425 0.158 0.023
Rb 0.925 0.842 0.023
Rb 0.075 0.158 0.523
Rb 0.575 0.842 0.523
S 0.632 0.500 0.192
S 0.132 0.500 0.192
S 0.868 0.500 0.692
S 0.368 0.500 0.692

## Properties
The calculated total energy comes out at -6.01 eV/atom. The calculation puts the total magnetization at 0.0 Bohr magnetons per cell. The energy above the most stable polymorph in this dataset comes out at 0.0000 eV per atom.

=====

(10)
The following is a PBE calculation of a geometry-optimized RbOsSO structure, from OQMD via LeMat-Bulk.

Unit cell a=4.266 b=4.266 c=9.591 alpha=90.00 beta=90.00 gamma=90.00
Atoms (fractional coordinates):
O 0.750 0.250 0.000
O 0.250 0.750 0.000
Os 0.750 0.750 0.040
Os 0.250 0.250 0.960
Rb 0.750 0.250 0.500
Rb 0.250 0.750 0.500
S 0.750 0.750 0.271
S 0.250 0.250 0.729

## Properties
The calculated total energy comes out at -5.06 eV/atom. The calculation puts the total magnetization at 2.0 Bohr magnetons per cell. The energy above the most stable polymorph in this dataset comes out at 0.9483 eV per atom.

=====

(11)
The following is a PBE calculation of a geometry-optimized RbOsSO structure, from OQMD via LeMat-Bulk.

Unit cell a=3.997 b=7.252 c=6.554 alpha=90.00 beta=90.00 gamma=90.00
Atoms (fractional coordinates):
O 0.500 0.104 0.244
O 0.500 0.896 0.744
Os 0.500 0.911 0.039
Os 0.500 0.089 0.539
Rb 0.000 0.323 0.101
Rb 0.000 0.677 0.601
S 0.000 0.783 0.106
S 0.000 0.217 0.606

## Properties
The calculated total energy comes out at -5.89 eV/atom. The calculation puts the total magnetization at 0.0 Bohr magnetons per cell. The energy above the most stable polymorph in this dataset comes out at 0.1205 eV per atom.

=====

(12)
The following is a PBE calculation of a geometry-optimized RbSbOs2O8 structure, from OQMD via LeMat-Bulk.

Unit cell a=5.070 b=5.070 c=8.554 alpha=90.00 beta=90.00 gamma=120.00
Atoms (fractional coordinates):
O 0.667 0.333 0.042
O 0.669 0.009 0.341
O 0.340 0.331 0.341
O 0.991 0.660 0.341
O 0.009 0.340 0.659
O 0.660 0.669 0.659
O 0.331 0.991 0.659
O 0.333 0.667 0.958
Os 0.667 0.333 0.248
Os 0.333 0.667 0.752
Rb 0.000 0.000 0.000
Sb 0.000 0.000 0.500

## Properties
The calculated total energy comes out at -6.56 eV/atom. The calculation puts the total magnetization at 2.4 Bohr magnetons per cell.

=====

| no. | calculated volume (Å³/atom) |
| --- | --- |
| 1 | 16.116 |
| 2 | 12.311 |
| 3 | 23.820 |
| 4 | 17.732 |
| 5 | 14.864 |
| 6 | 15.905 |
| 7 | 22.596 |
| 8 | 17.691 |
| 9 | 20.901 |
| 10 | 21.819 |
| 11 | 23.748 |
| 12 | 15.868 |